A.
Here is an optimized crystal structure of FeCoOF from Alexandria via LeMat-Bulk. Energies are from PBE+U.

## Properties
D(E_F) in states/eV/cell: 0.61

Lattice parameters (Å, degrees): 3.3146 3.3116 6.1457 74.35 90.27 60.06
Each line ends with the local moment (μB).
Positions (direct):
Co  0.1373  0.2897  0.4318  2.11
Fe  0.6562  0.2490  0.9924  3.79
O  0.0282  0.5015  0.1144  0.09
F  0.2486  0.0696  0.7606  0.04


B.
Here is an optimized crystal structure of FeCoOF from Alexandria via LeMat-Bulk. Energies are from PBE+U.

## Properties
D(E_F) in states/eV/cell: 0.95

Lattice parameters (Å, degrees): 3.1271 3.1263 6.8685 76.82 76.86 59.99
Each line ends with the local moment (μB).
Positions (direct):
O  0.8850  0.8710  0.0479  0.25
F  0.6941  0.6766  0.6238  0.07
Fe  0.5189  0.5047  0.1464  3.98
Co  0.0746  0.0576  0.4812  2.41


C.
Here is an optimized crystal structure of FeCoOF from Alexandria via LeMat-Bulk. Energies are from PBE+U.

## Properties
D(E_F) in states/eV/cell: 1.45

Lattice parameters (Å, degrees): 2.9255 3.0391 11.6938 90.00 90.00 90.00
Each line ends with the local moment (μB).
Positions (direct):
Co  0.0000  0.0000  0.2803  2.21
Co  0.0000  0.5000  0.7803  2.21
F  0.5000  0.0000  0.1510  0.04
F  0.5000  0.5000  0.6510  0.04
O  0.0000  0.5000  0.9419  0.09
O  0.0000  0.0000  0.4419  0.09
Fe  0.5000  0.0000  0.9772  3.74
Fe  0.5000  0.5000  0.4772  3.74


D.
Here is an optimized crystal structure of FeCoOF from Alexandria via LeMat-Bulk. Energies are from PBE+U.

## Properties
D(E_F) in states/eV/cell: 2.04

Lattice parameters (Å, degrees): 5.6137 3.2582 5.7094 90.00 85.48 90.00
Each line ends with the local moment (μB).
Positions (direct):
Fe  0.0058  0.0000  0.9802  3.79
Fe  0.0058  0.5000  0.4802  3.79
O  0.8809  0.5000  0.1633  0.12
O  0.8809  0.0000  0.6633  0.12
Co  0.5424  0.0000  0.6796  2.18
Co  0.5424  0.5000  0.1796  2.18
F  0.2716  0.0000  0.2686  0.03
F  0.2716  0.5000  0.7686  0.03


The calculated energies rank the structures as follows, beginning with the most stable: A, D, C, B.


A.
Here is an optimized crystal structure of FeCoOF from Alexandria via LeMat-Bulk. Energies are from PBE+U.

## Properties
D(E_F) in states/eV/cell: 0.76

Lattice parameters (Å, degrees): 3.0022 3.0224 12.3926 90.00 102.32 90.00
Each line ends with the local moment (μB).
Positions (direct):
Co  0.9224  0.0000  0.7087  2.15
Co  0.9224  0.5000  0.2087  2.15
F  0.0172  0.0000  0.8614  0.05
F  0.0172  0.5000  0.3614  0.05
O  0.8083  0.0000  0.5552  0.09
O  0.8083  0.5000  0.0552  0.09
Fe  0.2915  0.0000  0.0244  3.75
Fe  0.2915  0.5000  0.5244  3.75


B.
Here is an optimized crystal structure of FeCoOF from Alexandria via LeMat-Bulk. Energies are from PBE+U.

## Properties
D(E_F) in states/eV/cell: 0.95

Lattice parameters (Å, degrees): 3.1967 5.8796 6.3246 90.00 90.00 90.00
Each line ends with the local moment (μB).
Positions (direct):
F  0.0000  0.5000  0.2353  0.04
F  0.5000  0.0000  0.7353  0.04
O  0.5000  0.0000  0.1526  0.11
O  0.0000  0.5000  0.6526  0.11
Fe  0.0000  0.0000  0.9752  3.77
Fe  0.5000  0.5000  0.4752  3.77
Co  0.0000  0.5000  0.9368  2.08
Co  0.5000  0.0000  0.4368  2.08


C.
Here is an optimized crystal structure of FeCoOF from Alexandria via LeMat-Bulk. Energies are from PBE+U.

## Properties
D(E_F) in states/eV/cell: 1.80

Lattice parameters (Å, degrees): 2.9965 2.9969 11.0578 90.00 90.00 90.00
Each line ends with the local moment (μB).
Positions (direct):
Fe  0.5000  0.5000  0.9681  3.64
Fe  0.0000  0.0000  0.4681  3.64
Co  0.0000  0.5000  0.7854  2.27
Co  0.5000  0.0000  0.2854  2.27
O  0.5000  0.5000  0.4355  0.09
O  0.0000  0.0000  0.9355  0.09
F  0.5000  0.5000  0.1615  0.05
F  0.0000  0.0000  0.6615  0.05


The calculated energies rank the structures as follows, beginning with the most stable: A, C, B.


A.
Here is an optimized crystal structure of GaCo2F2 from Alexandria via LeMat-Bulk. Energies are from PBE+U.

## Properties
D(E_F) in states/eV/cell: 2.47

Lattice parameters (Å, degrees): 6.7641 6.7641 2.7460 90.00 90.00 90.00
Each line ends with the local moment (μB).
Positions (direct):
F  0.1295  0.3705  0.0000  0.01
F  0.3705  0.8705  0.0000  0.01
F  0.8705  0.6295  0.0000  0.01
F  0.6295  0.1295  0.0000  0.01
Co  0.8121  0.3121  0.5000  2.03
Co  0.3121  0.1879  0.5000  2.03
Co  0.6879  0.8121  0.5000  2.03
Co  0.1879  0.6879  0.5000  2.03
Ga  0.0000  0.0000  0.0000  -0.05
Ga  0.5000  0.5000  0.0000  -0.05


B.
Here is an optimized crystal structure of GaCo2F2 from Alexandria via LeMat-Bulk. Energies are from PBE+U.

## Properties
D(E_F) in states/eV/cell: 3.49

Lattice parameters (Å, degrees): 3.2925 3.2925 7.2692 76.91 76.91 90.00
Each line ends with the local moment (μB).
Positions (direct):
Co  0.7500  0.2500  0.5000  2.18
Co  0.2500  0.7500  0.5000  2.18
F  0.3910  0.3910  0.2180  0.01
F  0.6090  0.6090  0.7820  0.01
Ga  0.0000  0.0000  0.0000  0.01


The calculated energies rank the structures as follows, beginning with the most stable: A, B.


A.
Here is an optimized crystal structure of GaCoF3 from Alexandria via LeMat-Bulk. Energies are from PBE+U.

## Properties
D(E_F) in states/eV/cell: 4.73

Lattice parameters (Å, degrees): 4.1534 4.1534 4.1534 90.00 90.00 90.00
Each line ends with the local moment (μB).
Positions (direct):
Co  0.5000  0.5000  0.5000  2.81
F  0.0000  0.5000  0.0000  0.03
F  0.5000  0.0000  0.0000  -0.01
F  0.0000  0.0000  0.5000  0.03
Ga  0.0000  0.0000  0.0000  -0.08


B.
Here is an optimized crystal structure of GaCoF3 from Alexandria via LeMat-Bulk. Energies are from PBE+U.

## Properties
D(E_F) in states/eV/cell: 7.49

Lattice parameters (Å, degrees): 4.0968 4.0968 4.0968 90.00 90.00 90.00
Each line ends with the local moment (μB).
Positions (direct):
F  0.0000  0.0000  0.5000  0.04
F  0.5000  0.0000  0.0000  0.10
F  0.0000  0.5000  0.0000  0.07
Ga  0.5000  0.5000  0.5000  0.00
Co  0.0000  0.0000  0.0000  2.77


The calculated energies rank the structures as follows, beginning with the most stable: B, A.